[1]
DFT (GGA-PBE) results for a relaxed structure of RbBa2Al.

Cell lengths 4.499, 4.499, 13.862 Å; angles 80.66, 80.66, 60.00 degrees
Atoms (fractional coordinates):
Ba  0.111  0.111  0.667
Ba  0.889  0.889  0.333
Rb  0.000  0.000  0.000
Al  0.500  0.500  0.500

crystal system: trigonal
ΔE_f: 0.135 eV/atom

[2]
DFT (GGA-PBE) results for a relaxed structure of RbBa2Al.

Cell lengths 10.629, 10.629, 8.565 Å; angles 51.65, 51.65, 90.00 degrees
Atoms (fractional coordinates):
Ba  0.544  0.125  0.250
Ba  0.206  0.625  0.250
Ba  0.375  0.456  0.750
Ba  0.875  0.794  0.750
Rb  0.000  0.000  0.000
Rb  0.750  0.250  0.500
Al  0.500  0.500  0.000
Al  0.250  0.750  0.500

crystal system: tetragonal
ΔE_f: 0.261 eV/atom

[3]
DFT (GGA-PBE) results for a relaxed structure of Rb2BaAlRh.

Cell lengths 6.837, 4.682, 6.837 Å; angles 90.00, 90.00, 90.00 degrees
Each line ends with the local moment (μB).
Atoms (fractional coordinates):
Rh  0.000  0.500  0.000  0.04
Ba  0.500  0.500  0.500  0.17
Rb  0.000  0.000  0.500  0.01
Rb  0.500  0.000  0.000  0.01
Al  0.000  0.000  0.000  0.01

crystal system: tetragonal
ΔE_f: 0.432 eV/atom

[4]
DFT (GGA-PBE) results for a relaxed structure of RbBaAlS3.

Cell lengths 6.497, 6.497, 10.303 Å; angles 76.30, 76.30, 70.88 degrees
Atoms (fractional coordinates):
Rb  0.269  0.731  0.500
Rb  0.731  0.269  0.500
Ba  0.680  0.680  0.886
Ba  0.320  0.320  0.114
Al  0.044  0.044  0.787
Al  0.956  0.956  0.213
S  0.211  0.211  0.609
S  0.180  0.685  0.849
S  0.685  0.180  0.849
S  0.315  0.820  0.151
S  0.820  0.315  0.151
S  0.789  0.789  0.391

formation energy (no corrections): -1.315 eV/atom
crystal system: monoclinic

| no. | N(E_F) (states/eV/cell) |
| --- | --- |
| 1 | 4.69 |
| 2 | 11.28 |
| 3 | 3.89 |
| 4 | 0.00 |